No. 1
DFT (PBE) results for an optimized crystal structure of AcHgAu4.

* E_tot: -20.337 eV/cell
* total magnetic moment: 0.00 μB/cell
* space group: F-43m (216)
* energy of formation: -469.5 meV/atom

```
AcHgAu4
1.0
0.000 4.068 4.068
4.068 0.000 4.068
4.068 4.068 0.000
Ac Hg Au
1 1 4
Cartesian
0.000 0.000 0.000
2.034 2.034 2.034
5.079 3.056 3.056
3.056 5.079 3.056
3.056 3.056 5.079
5.079 5.079 5.079
```

No. 2
DFT (PBE) results for an optimized crystal structure of AcHgAu.

* E_tot: -9.655 eV/cell
* total magnetic moment: 0.00 μB/cell
* space group: P-6m2 (187)
* energy of formation: -655.6 meV/atom

```
AcHgAu
1.0
4.955 0.000 0.000
-2.477 4.291 0.000
0.000 0.000 3.949
Ac Hg Au
1 1 1
Cartesian
0.000 0.000 0.000
0.000 2.861 1.975
2.477 1.430 1.975
```